VASP calculation (PBE-GGA) on a relaxed structure of Ce2NiSb4Pd3.

Unit cell a=4.6040 b=4.6040 c=10.5525 alpha=90.00 beta=90.00 gamma=90.00
With the nearest neighbours (Å) after each atom.
Fractional coordinates of all 10 atoms:
Ce 0.0000 0.5000 0.2327  2 Ni 3.37, 6 Pd 3.37-3.55, 9 Sb 3.46-3.75
Ce 0.5000 0.0000 0.7673  2 Ni 3.37, 6 Pd 3.37-3.55, 9 Sb 3.46-3.75
Ni 0.5000 0.5000 0.0000  4 Sb 2.64
Sb 0.0000 0.0000 0.5000  4 Pd 2.69
Sb 0.0000 0.5000 0.8777  3 Pd 2.59-2.64, 2 Ni 2.64
Sb 0.5000 0.0000 0.1223  3 Pd 2.59-2.64, 2 Ni 2.64
Sb 0.5000 0.5000 0.5000  4 Pd 2.69
Pd 0.0000 0.0000 0.0000  4 Sb 2.64
Pd 0.0000 0.5000 0.6321  5 Sb 2.59-2.69
Pd 0.5000 0.0000 0.3679  5 Sb 2.59-2.69

Values from the calculation:
* VASP energy: -56.78 eV per formula unit
* formation energy without anion corrections: -706.3 meV per atom
* SG: P-4m2
* total magnetic moment: 1.76 μB per formula unit
* calculated volume: 22.37 Å³ per atom